Below is a geometry-optimized Be3Co structure, with properties calculated at the PBE level.

For the volume, the calculation gives 8.3 Å³ per atom. As for the formation energy: -0.28 eV/atom. For the total DFT energy (no corrections), the calculation gives -38.831 eV/cell. The value obtained for the magnetization is 0.00 μB per cell.

abc: 3.611 4.108 4.454
angles: 90.00 90.00 90.00
Fractional coordinates of all 8 atoms:
Be: 0.500 0.670 0.000
Be: 0.000 0.330 0.500
Be: 0.000 0.845 0.246
Be: 0.000 0.845 0.754
Be: 0.500 0.155 0.746
Be: 0.500 0.155 0.254
Co: 0.000 0.354 0.000
Co: 0.500 0.646 0.500